Entry 1:
## Er12CoPb6 (GGA-PBE)

Data for a geometry-optimized Er12CoPb6 structure.

Cell lengths 8.5188, 8.5188, 8.5188 Å; angles 99.28, 99.28, 99.28 degrees
Element x y z (fractional)
Er 0.0022 0.3066 0.0502
Er 0.0502 0.0022 0.3066
Er 0.2034 0.4175 0.5455
Er 0.3066 0.0502 0.0022
Er 0.4175 0.5455 0.2034
Er 0.4545 0.7966 0.5825
Er 0.5455 0.2034 0.4175
Er 0.5825 0.4545 0.7966
Er 0.6934 0.9498 0.9978
Er 0.7966 0.5825 0.4545
Er 0.9498 0.9978 0.6934
Er 0.9978 0.6934 0.9498
Co 0.0000 0.0000 0.0000
Pb 0.1184 0.6560 0.3206
Pb 0.3206 0.1184 0.6560
Pb 0.3440 0.6794 0.8816
Pb 0.6560 0.3206 0.1184
Pb 0.6794 0.8816 0.3440
Pb 0.8816 0.3440 0.6794

**Electronic total energy**: -88.37 eV/cell

---

Entry 2:
## Er4CoPb2 (GGA-PBE)

Data for a geometry-optimized Er4CoPb2 structure.

Cell lengths 8.8831, 8.8831, 8.8831 Å; angles 148.02, 148.02, 45.86 degrees
Element x y z (fractional)
Er 0.0000 0.5000 0.5000
Er 0.1702 0.1702 0.0000
Er 0.5000 0.0000 0.5000
Er 0.8298 0.8298 0.0000
Co 0.0000 0.0000 0.0000
Pb 0.3596 0.3596 0.0000
Pb 0.6404 0.6404 0.0000

**Energy above the lowest structure with this stoichiometry**: 0 meV per atom
**Electronic total energy**: -34.91 eV/cell

---

Entry 3:
## Er5Co2Pb2 (GGA-PBE)

Data for a geometry-optimized Er5Co2Pb2 structure.

Cell lengths 8.8332, 8.8332, 6.9295 Å; angles 90.00, 90.00, 55.61 degrees
Element x y z (fractional)
Er 0.0000 0.0000 0.0000
Er 0.0673 0.7025 0.6522
Er 0.2025 0.5673 0.1522
Er 0.2975 0.9327 0.6522
Er 0.4327 0.7975 0.1522
Er 0.5000 0.5000 0.5000
Er 0.5673 0.2025 0.8478
Er 0.7025 0.0673 0.3478
Er 0.7975 0.4327 0.8478
Er 0.9327 0.2975 0.3478
Co 0.1087 0.8913 0.3803
Co 0.3913 0.6087 0.8803
Co 0.6087 0.3913 0.1197
Co 0.8913 0.1087 0.6197
Pb 0.2170 0.2170 0.0000
Pb 0.2830 0.2830 0.5000
Pb 0.7170 0.7170 0.5000
Pb 0.7830 0.7830 0.0000

**Electronic total energy**: -94.61 eV/cell

---

Entry 4:
## Er3CoPb (GGA-PBE)

Data for a geometry-optimized Er3CoPb structure.

Cell lengths 8.8340, 8.8340, 3.6929 Å; angles 90.00, 90.00, 111.41 degrees
Element x y z (fractional)
Er 0.1652 0.4187 0.5000
Er 0.1957 0.8043 0.0000
Er 0.4187 0.1652 0.5000
Er 0.5813 0.8348 0.5000
Er 0.8043 0.1957 0.0000
Er 0.8348 0.5813 0.5000
Co 0.0000 0.5000 0.0000
Co 0.5000 0.0000 0.0000
Pb 0.0000 0.0000 0.5000
Pb 0.5000 0.5000 0.0000

**Energy above the lowest structure with this stoichiometry**: 98 meV per atom
**Electronic total energy**: -51.63 eV/cell

---

| no. | energy relative to the elements (eV/atom) | Fermi-level density of states (states/eV/f.u.) |
| --- | --- | --- |
| 1 | -0.224 | 18.19 |
| 2 | -0.305 | 3.52 |
| 3 | -0.318 | 6.87 |
| 4 | -0.263 | 4.21 |